1) Material: KPdI
Method: DFT, PBE
State: relaxed

Cell: 4.7036 4.7036 4.8280 Å, 90.00 90.00 120.00°
With the nearest neighbours (Å) after each atom.
Fractional positions:
K 0.0000 0.0000 0.0000  6 I 3.63, 6 Pd 3.63
Pd 0.6667 0.3333 0.5000  3 I 2.72
I 0.3333 0.6667 0.5000  3 Pd 2.72

=====

2) Material: KPdI
Method: DFT, PBE
State: relaxed

Cell: 4.9256 4.9287 10.1393 Å, 76.26 77.87 64.22°
With the nearest neighbours (Å) after each atom.
Fractional positions:
K 0.0000 0.0000 0.0000  2 Pd 3.32-3.34, 4 I 3.55-3.59
K 0.1954 0.1523 0.4255  2 Pd 3.33-3.35, 4 I 3.55-3.60
Pd 0.0857 0.7153 0.7189  2 I 2.61-2.68, 2 Pd 2.83
Pd 0.4565 0.0868 0.7167  2 I 2.61-2.68, 2 Pd 2.83
I 0.5974 0.5759 0.2131  6 K 3.55-3.59
I 0.6756 0.5059 0.7036  4 Pd 2.61-2.68

=====

3) Material: KPdI
Method: DFT, PBE
State: relaxed

Cell: 4.8643 5.0714 9.0000 Å, 84.45 76.02 70.99°
With the nearest neighbours (Å) after each atom.
Fractional positions:
K 0.0000 0.0000 0.0000  3 Pd 3.14-3.19, 3 I 3.43-3.49
K 0.4793 0.7440 0.4534  2 Pd 3.42-3.63, 6 I 3.51-3.82
Pd 0.4053 0.3879 0.9028  2 I 2.62-2.67, 1 Pd 2.86
Pd 0.8723 0.5967 0.7355  2 I 2.65-2.73, 1 Pd 2.86
I 0.2353 0.3993 0.2085  1 Pd 2.67
I 0.7735 0.1320 0.6588  3 Pd 2.62-2.73

=====

Least stable of them? 3).

=====

1) Material: KPdI
Method: DFT, PBE
State: relaxed

Cell: 6.7051 6.7051 4.8804 Å, 90.17 90.17 92.46°
With the nearest neighbours (Å) after each atom.
Fractional positions:
K 0.2296 0.7704 0.0000  4 Pd 3.32-3.44, 2 I 3.69-3.70
K 0.7704 0.2296 0.0000  4 Pd 3.32-3.44, 2 I 3.69-3.70
Pd 0.7346 0.7346 0.9992  2 I 2.66, 2 Pd 2.87
Pd 0.8976 0.8976 0.5002  2 I 2.57-2.62, 2 Pd 2.87
I 0.1797 0.1797 0.5028  1 Pd 2.62
I 0.6208 0.6208 0.4984  3 Pd 2.57-2.66

=====

2) Material: KPdI
Method: DFT, PBE
State: relaxed

Cell: 11.2000 8.0114 4.1639 Å, 90.00 90.00 90.00°
With the nearest neighbours (Å) after each atom.
Fractional positions:
K 0.2328 0.2500 0.0032  3 Pd 3.05-3.30
K 0.2672 0.7500 0.5032  3 Pd 3.05-3.30
K 0.7328 0.2500 0.4968  3 Pd 3.05-3.30
K 0.7672 0.7500 0.9968  3 Pd 3.05-3.30
Pd 0.0393 0.7500 0.0009  4 I 2.92, 1 K 3.05
Pd 0.4607 0.2500 0.5009  4 I 2.92, 1 K 3.05
Pd 0.5393 0.7500 0.4991  4 I 2.92, 1 K 3.05
Pd 0.9607 0.2500 0.9991  4 I 2.92, 1 K 3.05
I 0.0000 0.0000 0.5000  4 Pd 2.92
I 0.0000 0.5000 0.5000  4 Pd 2.92
I 0.5000 0.0000 0.0000  4 Pd 2.92
I 0.5000 0.5000 0.0000  4 Pd 2.92

=====

3) Material: KPdI
Method: DFT, PBE
State: relaxed

Cell: 4.9364 6.6592 6.6879 Å, 93.98 107.09 106.02°
With the nearest neighbours (Å) after each atom.
Fractional positions:
K 0.0070 0.2882 0.2136  4 Pd 3.49-3.63, 4 I 3.56-3.73
K 0.9930 0.7118 0.7864  4 Pd 3.49-3.63, 4 I 3.56-3.73
Pd 0.2453 0.8571 0.3594  2 I 2.62-2.64, 1 Pd 2.75
Pd 0.7547 0.1429 0.6406  2 I 2.62-2.64, 1 Pd 2.75
I 0.3411 0.2494 0.7531  2 Pd 2.62-2.64
I 0.6589 0.7506 0.2469  2 Pd 2.62-2.64

=====

Least stable of them? 2).

=====

1) Material: KPdI
Method: DFT, PBE
State: relaxed

Cell: 4.9615 4.8736 9.3167 Å, 90.00 105.43 90.00°
With the nearest neighbours (Å) after each atom.
Fractional positions:
K 0.0000 0.0000 0.0000  6 Pd 3.39-3.58
K 0.2524 0.0000 0.5075  2 Pd 3.34-3.35, 6 I 3.60-3.67
Pd 0.5462 0.5000 0.0920  2 I 2.57-2.60, 2 Pd 2.85
Pd 0.6281 0.0000 0.2575  2 I 2.67, 2 Pd 2.85
I 0.4032 0.5000 0.8020  1 Pd 2.60
I 0.6872 0.5000 0.3778  3 Pd 2.57-2.67

=====

2) Material: KPdI
Method: DFT, PBE
State: relaxed

Cell: 10.2667 4.6163 8.6444 Å, 90.00 90.00 90.00°
With the nearest neighbours (Å) after each atom.
Fractional positions:
K 0.2225 0.2500 0.0510  1 Pd 3.14
K 0.2775 0.7500 0.5510  1 Pd 3.14
K 0.7225 0.2500 0.4490  1 Pd 3.14
K 0.7775 0.7500 0.9490  1 Pd 3.14
Pd 0.0267 0.2500 0.4121  3 I 2.72-2.98, 2 Pd 2.82
Pd 0.4733 0.7500 0.9121  3 I 2.72-2.98, 2 Pd 2.82
Pd 0.5267 0.2500 0.0879  3 I 2.72-2.98, 2 Pd 2.82
Pd 0.9733 0.7500 0.5879  3 I 2.72-2.98, 2 Pd 2.82
I 0.0189 0.7500 0.2470  3 Pd 2.72-2.98
I 0.4811 0.2500 0.7470  3 Pd 2.72-2.98
I 0.5189 0.7500 0.2530  3 Pd 2.72-2.98
I 0.9811 0.2500 0.7530  3 Pd 2.72-2.98

=====

3) Material: KPdI
Method: DFT, PBE
State: relaxed

Cell: 6.9471 6.9471 7.0161 Å, 95.49 95.49 35.81°
With the nearest neighbours (Å) after each atom.
Fractional positions:
K 0.1104 0.1104 0.2925  1 Pd 3.18
K 0.8896 0.8896 0.7075  1 Pd 3.18
Pd 0.2066 0.2066 0.8957  2 I 2.69, 2 Pd 2.77
Pd 0.7934 0.7934 0.1043  2 I 2.69, 2 Pd 2.77
I 0.3841 0.3841 0.2793  2 Pd 2.69
I 0.6159 0.6159 0.7207  2 Pd 2.69

=====

Least stable of them? 2).

=====

1) Material: KPdI2
Method: DFT, PBE
State: relaxed

Cell: 5.5980 5.5980 5.5980 Å, 60.00 60.00 60.00°
With the nearest neighbours (Å) after each atom.
Fractional positions:
K 0.0000 0.0000 0.0000  8 I 3.43
Pd 0.5000 0.5000 0.5000  8 I 3.43
I 0.2500 0.2500 0.2500  4 K 3.43, 4 Pd 3.43
I 0.7500 0.7500 0.7500  4 K 3.43, 4 Pd 3.43

=====

2) Material: KPdI2
Method: DFT, PBE
State: relaxed

Cell: 8.6036 8.6036 8.6036 Å, 131.22 131.22 71.46°
With the nearest neighbours (Å) after each atom.
Fractional positions:
K 0.0000 0.0000 0.0000  4 I 3.48
K 0.7500 0.2500 0.5000  4 I 3.48
Pd 0.2500 0.7500 0.5000  4 I 2.73
Pd 0.5000 0.5000 0.0000  4 I 2.73
I 0.2166 0.6250 0.0916  2 Pd 2.73
I 0.3750 0.4666 0.5916  2 Pd 2.73
I 0.5334 0.1250 0.9084  2 Pd 2.73
I 0.8750 0.7834 0.4084  2 Pd 2.73

=====

3) Material: KPdI2
Method: DFT, PBE
State: relaxed

Cell: 7.9983 7.9983 7.9983 Å, 32.91 32.91 32.91°
With the nearest neighbours (Å) after each atom.
Fractional positions:
K 0.0000 0.0000 0.0000  6 I 3.50
Pd 0.5000 0.5000 0.5000  6 I 2.99
I 0.2305 0.2305 0.2305  3 Pd 2.99
I 0.7695 0.7695 0.7695  3 Pd 2.99

=====

Least stable of them? 1).

=====

1) Material: KPdI4
Method: DFT, PBE
State: relaxed

Cell: 8.4179 7.6052 7.5047 Å, 90.00 96.32 90.00°
With the nearest neighbours (Å) after each atom.
Fractional positions:
K 0.0000 0.0000 0.0000  4 I 3.60-3.63
K 0.0000 0.5000 0.5000  4 I 3.60-3.63
Pd 0.5000 0.0000 0.5000  6 I 2.70-2.81
Pd 0.5000 0.5000 0.0000  6 I 2.70-2.81
I 0.1856 0.0785 0.4528  1 Pd 2.70
I 0.1856 0.4215 0.9528  1 Pd 2.70
I 0.4217 0.6961 0.2962  2 Pd 2.81
I 0.4217 0.8039 0.7962  2 Pd 2.81
I 0.5783 0.1961 0.2038  2 Pd 2.81
I 0.5783 0.3039 0.7038  2 Pd 2.81
I 0.8144 0.5785 0.0472  1 Pd 2.70
I 0.8144 0.9215 0.5472  1 Pd 2.70

=====

2) Material: KPdI4
Method: DFT, PBE
State: relaxed

Cell: 9.0393 9.0393 7.9451 Å, 102.68 102.68 45.94°
With the nearest neighbours (Å) after each atom.
Fractional positions:
K 0.1527 0.8473 0.7500  6 I 3.60-3.85
K 0.8473 0.1527 0.2500  6 I 3.60-3.85
Pd 0.0000 0.5000 0.0000  6 I 2.70-2.83
Pd 0.5000 0.0000 0.5000  6 I 2.70-2.83
I 0.1553 0.2388 0.6884  2 Pd 2.81-2.83
I 0.2388 0.1553 0.1884  2 Pd 2.81-2.83
I 0.2747 0.5430 0.0713  1 Pd 2.70
I 0.4570 0.7253 0.4287  1 Pd 2.70
I 0.5430 0.2747 0.5713  1 Pd 2.70
I 0.7253 0.4570 0.9287  1 Pd 2.70
I 0.7612 0.8447 0.8116  2 Pd 2.81-2.83
I 0.8447 0.7612 0.3116  2 Pd 2.81-2.83

=====

Least stable of them? 1).

=====

1) Material: K2PdI
Method: DFT, PBE
State: relaxed

Cell: 5.7949 5.7949 5.7949 Å, 60.00 60.00 60.00°
With the nearest neighbours (Å) after each atom.
Fractional positions:
K 0.2500 0.2500 0.2500  4 I 3.55, 4 Pd 3.55
K 0.7500 0.7500 0.7500  4 I 3.55, 4 Pd 3.55
Pd 0.0000 0.0000 0.0000  8 K 3.55
I 0.5000 0.5000 0.5000  8 K 3.55

=====

2) Material: K2PdI
Method: DFT, PBE
State: relaxed

Cell: 7.2501 7.2501 7.2501 Å, 101.38 101.38 127.25°
With the nearest neighbours (Å) after each atom.
Fractional positions:
K 0.0871 0.6250 0.9621  2 Pd 3.12, 2 K 3.30
K 0.3750 0.3371 0.4621  2 Pd 3.12, 2 K 3.30
K 0.6629 0.1250 0.0379  2 Pd 3.12, 2 K 3.30
K 0.8750 0.9129 0.5379  2 Pd 3.12, 2 K 3.30
Pd 0.0000 0.0000 0.0000  4 K 3.12, 2 I 3.22
Pd 0.7500 0.2500 0.5000  4 K 3.12, 2 I 3.22
I 0.2500 0.7500 0.5000  2 Pd 3.22, 4 K 3.59
I 0.5000 0.5000 0.0000  2 Pd 3.22, 4 K 3.59

=====

Least stable of them? 2).

=====

1) Material: KPd2I
Method: DFT, PBE
State: relaxed

Cell: 9.5782 9.5782 9.5782 Å, 146.34 146.34 48.35°
With the nearest neighbours (Å) after each atom.
Fractional positions:
K 0.0000 0.0000 0.0000  8 Pd 3.79-3.80, 4 I 3.92
K 0.7500 0.2500 0.5000  8 Pd 3.79-3.80, 4 I 3.92
Pd 0.3740 0.1250 0.7490  2 I 2.59, 2 Pd 2.77
Pd 0.3750 0.6260 0.7510  2 I 2.59, 2 Pd 2.77
Pd 0.3760 0.6250 0.2510  2 I 2.59, 2 Pd 2.77
Pd 0.8750 0.6240 0.2490  2 I 2.59, 2 Pd 2.77
I 0.2500 0.7500 0.5000  4 Pd 2.59
I 0.5000 0.5000 0.0000  4 Pd 2.59

=====

2) Material: KPd2I
Method: DFT, PBE
State: relaxed

Cell: 5.0190 5.0190 5.0190 Å, 60.00 60.00 60.00°
With the nearest neighbours (Å) after each atom.
Fractional positions:
K 0.0000 0.0000 0.0000  8 Pd 3.07
Pd 0.2500 0.2500 0.2500  4 K 3.07, 4 I 3.07
Pd 0.7500 0.7500 0.7500  4 K 3.07, 4 I 3.07
I 0.5000 0.5000 0.5000  8 Pd 3.07

=====

Least stable of them? 2).

=====

1) Material: K2PmI5
Method: DFT, PBE
State: relaxed

Cell: 8.9909 8.9958 9.1541 Å, 119.30 119.36 90.02°
With the nearest neighbours (Å) after each atom.
Fractional positions:
K 0.0000 0.0000 0.0000  4 I 3.51
K 0.4994 0.5014 0.9997  4 I 3.51-3.52
Pm 0.1697 0.6696 0.3407  5 I 2.94-3.08
I 0.3460 0.3773 0.2237  1 Pm 3.08
I 0.3467 0.8472 0.2258  1 Pm 3.08
I 0.3914 0.8901 0.7857  1 Pm 2.94
I 0.8760 0.3766 0.2223  1 Pm 3.08
I 0.8778 0.8470 0.2253  1 Pm 3.08

=====

2) Material: K2PmI5
Method: DFT, PBE
State: relaxed

Cell: 14.6252 9.8655 9.2892 Å, 90.00 90.00 90.00°
With the nearest neighbours (Å) after each atom.
Fractional positions:
K 0.1722 0.0043 0.0662  8 I 3.64-4.00
K 0.1722 0.4957 0.0662  8 I 3.64-4.00
K 0.3278 0.5043 0.5662  8 I 3.64-4.00
K 0.3278 0.9957 0.5662  8 I 3.64-4.00
K 0.6722 0.0043 0.4338  8 I 3.64-4.00
K 0.6722 0.4957 0.4338  8 I 3.64-4.00
K 0.8278 0.5043 0.9338  8 I 3.64-4.00
K 0.8278 0.9957 0.9338  8 I 3.64-4.00
Pm 0.0058 0.2500 0.5799  7 I 3.15-3.27
Pm 0.4942 0.7500 0.0799  7 I 3.15-3.27
Pm 0.5058 0.2500 0.9201  7 I 3.15-3.27
Pm 0.9942 0.7500 0.4201  7 I 3.15-3.27
I 0.0086 0.2500 0.9268  1 Pm 3.22
I 0.0719 0.5464 0.6690  2 Pm 3.19-3.27
I 0.0719 0.9536 0.6690  2 Pm 3.19-3.27
I 0.1834 0.2500 0.3831  1 Pm 3.18
I 0.2045 0.7500 0.3459  1 Pm 3.15
I 0.2955 0.2500 0.8459  1 Pm 3.15
I 0.3166 0.7500 0.8831  1 Pm 3.18
I 0.4281 0.0464 0.1690  2 Pm 3.19-3.27
I 0.4281 0.4536 0.1690  2 Pm 3.19-3.27
I 0.4914 0.7500 0.4268  1 Pm 3.22
I 0.5086 0.2500 0.5732  1 Pm 3.22
I 0.5719 0.5464 0.8310  2 Pm 3.19-3.27
I 0.5719 0.9536 0.8310  2 Pm 3.19-3.27
I 0.6834 0.2500 0.1169  1 Pm 3.18
I 0.7045 0.7500 0.1541  1 Pm 3.15
I 0.7955 0.2500 0.6541  1 Pm 3.15
I 0.8166 0.7500 0.6169  1 Pm 3.18
I 0.9281 0.0464 0.3310  2 Pm 3.19-3.27
I 0.9281 0.4536 0.3310  2 Pm 3.19-3.27
I 0.9914 0.7500 0.0732  1 Pm 3.22

=====

Least stable of them? 1).

=====

1) Material: KPmI4
Method: DFT, PBE
State: relaxed

Cell: 9.0243 9.0243 8.8575 Å, 117.47 117.47 29.86°
With the nearest neighbours (Å) after each atom.
Fractional positions:
K 0.0000 0.0000 0.0000  6 I 3.49-3.69
Pm 0.5000 0.5000 0.5000  6 I 3.06-3.18
I 0.1172 0.1172 0.7466  2 Pm 3.18
I 0.3854 0.3854 0.6751  1 Pm 3.06
I 0.6146 0.6146 0.3249  1 Pm 3.06
I 0.8828 0.8828 0.2534  2 Pm 3.18

=====

2) Material: KPmI4
Method: DFT, PBE
State: relaxed

Cell: 10.3496 10.3496 7.7530 Å, 108.21 108.21 116.44°
With the nearest neighbours (Å) after each atom.
Fractional positions:
K 0.1586 0.8414 0.7500  6 I 3.49-3.84
K 0.8414 0.1586 0.2500  6 I 3.49-3.84
Pm 0.4205 0.5795 0.2500  6 I 3.02-3.24
Pm 0.5795 0.4205 0.7500  6 I 3.02-3.24
I 0.1363 0.5400 0.3175  1 Pm 3.02
I 0.2380 0.3241 0.7580  2 Pm 3.14-3.24
I 0.3241 0.2380 0.2580  2 Pm 3.14-3.24
I 0.4600 0.8637 0.1825  1 Pm 3.02
I 0.5400 0.1363 0.8175  1 Pm 3.02
I 0.6759 0.7620 0.7420  2 Pm 3.14-3.24
I 0.7620 0.6759 0.2420  2 Pm 3.14-3.24
I 0.8637 0.4600 0.6825  1 Pm 3.02

=====

Least stable of them? 2).